The following is a DFT calculation (SCAN) of Al2RuW at its PBEsol-relaxed geometry.

Lattice parameters (Å, degrees): 4.3309 4.3309 4.3309 60.00 60.00 60.00
Fractional coordinates of all 4 atoms:
Ru  0.5000  0.5000  0.5000
Al  0.0000  0.0000  0.0000
Al  0.7500  0.7500  0.7500
W  0.2500  0.2500  0.2500

Values from the calculation:
ΔH_f (0 K) = -0.5 eV/f.u.
crystal system = cubic
energy relative to the lowest polymorph listed for this composition = 48 meV per atom


The following is a DFT calculation (SCAN) of AlRuW at its PBEsol-relaxed geometry.

Lattice parameters (Å, degrees): 2.7274 2.7274 6.5646 97.20 97.20 113.36
Fractional coordinates of all 3 atoms:
Ru  0.3360  0.3360  0.6721
Al  0.9946  0.9946  0.9892
W  0.6694  0.6694  0.3388

Values from the calculation:
ΔH_f (0 K) = -0.2 eV/f.u.
crystal system = orthorhombic
energy relative to the lowest polymorph listed for this composition = 50 meV per atom


The following is a DFT calculation (SCAN) of Al2RuW at its PBEsol-relaxed geometry.

Lattice parameters (Å, degrees): 3.8233 3.8233 4.7724 113.61 113.61 90.00
Fractional coordinates of all 4 atoms:
Ru  0.5000  0.5000  0.0000
Al  0.0000  0.0000  0.0000
Al  0.7500  0.2500  0.5000
W  0.2500  0.7500  0.5000

Values from the calculation:
ΔH_f (0 K) = -0.7 eV/f.u.
crystal system = tetragonal
energy relative to the lowest polymorph listed for this composition = 0 meV per atom


The following is a DFT calculation (SCAN) of AlRuW at its PBEsol-relaxed geometry.

Lattice parameters (Å, degrees): 2.7951 2.7951 6.4739 90.00 90.00 120.00
Fractional coordinates of all 3 atoms:
Ru  0.3333  0.6667  0.6658
Al  0.0000  0.0000  0.9903
W  0.6667  0.3333  0.3440

Values from the calculation:
ΔH_f (0 K) = -0.3 eV/f.u.
crystal system = trigonal
energy relative to the lowest polymorph listed for this composition = 0 meV per atom


The following is a DFT calculation (SCAN) of YAlRu3 at its PBEsol-relaxed geometry.

Lattice parameters (Å, degrees): 4.4524 4.4524 4.4524 90.00 90.00 90.00
Fractional coordinates of all 5 atoms:
Y  0.5000  0.5000  0.5000
Ru  0.0000  0.5000  0.0000
Ru  0.0000  0.0000  0.5000
Ru  0.5000  0.0000  0.0000
Al  0.0000  0.0000  0.0000

Values from the calculation:
ΔH_f (0 K) = 1.4 eV/f.u.
crystal system = cubic


The following is a DFT calculation (SCAN) of Y2AlRu2 at its PBEsol-relaxed geometry.

Lattice parameters (Å, degrees): 4.2726 6.7218 6.7218 90.00 90.00 90.00
Fractional coordinates of all 10 atoms:
Y  0.5000  0.1762  0.6762
Y  0.5000  0.6762  0.8238
Y  0.5000  0.8238  0.3238
Y  0.5000  0.3238  0.1762
Ru  0.0000  0.3654  0.8654
Ru  0.0000  0.8654  0.6346
Ru  0.0000  0.6346  0.1346
Ru  0.0000  0.1346  0.3654
Al  0.0000  0.0000  0.0000
Al  0.0000  0.5000  0.5000

Values from the calculation:
ΔH_f (0 K) = -2.6 eV/f.u.
crystal system = tetragonal


Repeat the first record exactly.
The following is a DFT calculation (SCAN) of Al2RuW at its PBEsol-relaxed geometry.

Lattice parameters (Å, degrees): 4.3309 4.3309 4.3309 60.00 60.00 60.00
Fractional coordinates of all 4 atoms:
Ru  0.5000  0.5000  0.5000
Al  0.0000  0.0000  0.0000
Al  0.7500  0.7500  0.7500
W  0.2500  0.2500  0.2500

Values from the calculation:
ΔH_f (0 K) = -0.5 eV/f.u.
crystal system = cubic
energy relative to the lowest polymorph listed for this composition = 48 meV per atom


ΔH_f (0 K) of number 6 (Y2AlRu2)? -2.6 eV/f.u.


Which of these has the lowest ΔH_f (0 K)? Y2AlRu2


Number 2 is which compound? AlRuW